Record 1
A PBEsol-optimized structure of ZnIr2Ru. Source: Alexandria, functional SCAN.

Summary:
size of the total moment	0.00	μB per cell

a b c (Å): 2.7159 3.7581 5.3509
angles (deg): 90.00 90.00 90.00
With the nearest neighbours (Å) after each atom.
Space group Pmmm (No. 47)
Asymmetric unit:
Zn: 0.0000 0.0000 0.0000 (multiplicity 1)  2 Ru 2.68, 8 Ir 2.68, 2 Zn 2.72
Ir: 0.5000 0.5000 0.2510 (multiplicity 2)  4 Ir 2.66-2.72, 4 Ru 2.67, 4 Zn 2.68
Ru: 0.0000 0.0000 0.5000 (multiplicity 1)  8 Ir 2.67, 2 Zn 2.68, 2 Ru 2.72

---

Record 2
A PBEsol-optimized structure of ZnIr2Ru. Source: Alexandria, functional SCAN.

Summary:
size of the total moment	0.00	μB per cell

a b c (Å): 2.7069 2.7069 25.9536
angles (deg): 90.00 90.00 120.00
With the nearest neighbours (Å) after each atom.
Space group R3m (No. 160, hexagonal axes)
Asymmetric unit:
Zn: 0.0000 0.0000 0.0000 (multiplicity 3)  3 Ir 2.66, 3 Ru 2.66, 6 Zn 2.71
Ir: 0.0000 0.0000 0.5023 (multiplicity 3)  3 Ru 2.62, 9 Ir 2.71-2.73
Ir: 0.0000 0.0000 0.7494 (multiplicity 3)  3 Zn 2.66, 9 Ir 2.71-2.73
Ru: 0.0000 0.0000 0.2502 (multiplicity 3)  3 Ir 2.62, 3 Zn 2.66, 6 Ru 2.71

---

Record 3
A PBEsol-optimized structure of ZnIr2Ru. Source: Alexandria, functional SCAN.

Summary:
size of the total moment	0.00	μB per cell

a b c (Å): 2.7198 2.7198 7.4174
angles (deg): 90.00 90.00 90.00
With the nearest neighbours (Å) after each atom.
Space group P4mm (No. 99)
Asymmetric unit:
Zn: 0.0000 0.0000 0.0000 (multiplicity 1)  4 Ir 2.67, 4 Ru 2.68, 4 Zn 2.72
Ir: 0.0000 0.0000 0.5062 (multiplicity 1)  4 Ru 2.63, 8 Ir 2.71-2.72
Ir: 0.5000 0.5000 0.2495 (multiplicity 1)  4 Zn 2.67, 8 Ir 2.71-2.72
Ru: 0.5000 0.5000 0.7477 (multiplicity 1)  4 Ir 2.63, 4 Zn 2.68, 4 Ru 2.72

---

Let's list density of states at the Fermi level in order: 0.8028 0.9015 0.6636 states/eV per atom.
Let's list energy of formation from the pure elements in order: -0.055 -0.020 -0.033 eV per atom.